No. 1
# RbNaLi PBE optimized geometry
data_RbNaLi
_chemical_formula_sum 'Rb4 Na4 Li4'
_symmetry_space_group_name_H-M 'A m m 2'
_symmetry_Int_Tables_number 38
_cell_length_a 14.758
_cell_length_b 6.232
_cell_length_c 6.106
_cell_angle_alpha 90.00
_cell_angle_beta 90.00
_cell_angle_gamma 90.00
loop_
_symmetry_equiv_pos_as_xyz
'x,y,z'
'-x,-y,z'
'-x,y,z'
'x,-y,z'
'x,y+1/2,z+1/2'
'-x,-y+1/2,z+1/2'
'-x,y+1/2,z+1/2'
'x,-y+1/2,z+1/2'
loop_
_atom_site_label
_atom_site_type_symbol
_atom_site_fract_x
_atom_site_fract_y
_atom_site_fract_z
Rb1 Rb 0.208 0.000 0.000
Na1 Na 0.000 0.000 0.498
Na2 Na 0.500 0.000 0.003
Li1 Li 0.397 0.000 0.503
# Density of states at the Fermi level = 1.90 states/eV/f.u.
# Magnetic moment = 0.00 μB per formula unit
# VASP energy = -1.28 eV/atom
# ΔE_f = 0.12 eV/atom


No. 2
# RbNa10Li PBE optimized geometry
data_RbNa10Li
_chemical_formula_sum 'Rb1 Na10 Li1'
_symmetry_space_group_name_H-M 'P m m m'
_symmetry_Int_Tables_number 47
_cell_length_a 6.065
_cell_length_b 6.892
_cell_length_c 12.144
_cell_angle_alpha 90.00
_cell_angle_beta 90.00
_cell_angle_gamma 90.00
loop_
_symmetry_equiv_pos_as_xyz
'x,y,z'
'-x,-y,-z'
'-x,-y,z'
'x,y,-z'
'x,-y,-z'
'-x,y,z'
'-x,y,-z'
'x,-y,z'
loop_
_atom_site_label
_atom_site_type_symbol
_atom_site_fract_x
_atom_site_fract_y
_atom_site_fract_z
Rb1 Rb 0.000 0.000 0.000
Na1 Na 0.000 0.000 0.350
Na2 Na 0.000 0.500 0.198
Na3 Na 0.500 0.000 0.500
Na4 Na 0.500 0.255 0.263
Na5 Na 0.500 0.500 0.000
Li1 Li 0.000 0.500 0.500
# Density of states at the Fermi level = 6.34 states/eV/f.u.
# Magnetic moment = 0.00 μB per formula unit
# VASP energy = -1.26 eV/atom
# ΔE_f = 0.08 eV/atom


No. 3
# RbNa4Li PBE optimized geometry
data_RbNa4Li
_chemical_formula_sum 'Rb4 Na16 Li4'
_symmetry_space_group_name_H-M 'C 1 2/m 1'
_symmetry_Int_Tables_number 12
_cell_length_a 19.886
_cell_length_b 8.484
_cell_length_c 6.468
_cell_angle_alpha 90.00
_cell_angle_beta 108.48
_cell_angle_gamma 90.00
loop_
_symmetry_equiv_pos_as_xyz
'x,y,z'
'-x,-y,-z'
'-x,y,-z'
'x,-y,z'
'x+1/2,y+1/2,z'
'-x+1/2,-y+1/2,-z'
'-x+1/2,y+1/2,-z'
'x+1/2,-y+1/2,z'
loop_
_atom_site_label
_atom_site_type_symbol
_atom_site_fract_x
_atom_site_fract_y
_atom_site_fract_z
Rb1 Rb 0.214 0.000 0.213
Na1 Na 0.000 0.192 0.000
Na2 Na 0.099 0.222 0.598
Na3 Na 0.148 0.500 0.149
Li1 Li 0.001 0.500 0.732
# Density of states at the Fermi level = 2.79 states/eV/f.u.
# Magnetic moment = 0.00 μB per formula unit
# VASP energy = -1.30 eV/atom
# ΔE_f = 0.06 eV/atom


No. 4
# RbNaLi2 PBE optimized geometry
data_RbNaLi2
_chemical_formula_sum 'Rb3 Na3 Li6'
_symmetry_space_group_name_H-M 'R -3 m'
_symmetry_Int_Tables_number 166
_symmetry_space_group_name_Hall '-R 3 2"'
_cell_length_a 5.5329
_cell_length_b 5.5329
_cell_length_c 19.9493
_cell_angle_alpha 90.00
_cell_angle_beta 90.00
_cell_angle_gamma 120.00
loop_
_atom_site_label
_atom_site_type_symbol
_atom_site_fract_x
_atom_site_fract_y
_atom_site_fract_z
Rb1 Rb 0.0000 0.0000 0.0000
Na1 Na 0.0000 0.0000 0.5000
Li1 Li 0.0000 0.0000 0.1914
# Density of states at the Fermi level = 2.53 states/eV/f.u.
# Magnetic moment = 0.00 μB per formula unit
# VASP energy = -1.39 eV/atom
# ΔE_f = 0.14 eV/atom


No. 5
# RbNaLi2 PBE optimized geometry
data_RbNaLi2
_chemical_formula_sum 'Rb1 Na1 Li2'
_symmetry_space_group_name_H-M 'P 4/m m m'
_symmetry_Int_Tables_number 123
_symmetry_space_group_name_Hall '-P 4 2'
_cell_length_a 4.159
_cell_length_b 4.159
_cell_length_c 9.189
_cell_angle_alpha 90.00
_cell_angle_beta 90.00
_cell_angle_gamma 90.00
loop_
_atom_site_label
_atom_site_type_symbol
_atom_site_fract_x
_atom_site_fract_y
_atom_site_fract_z
Rb1 Rb 0.000 0.000 0.000
Na1 Na 0.000 0.000 0.500
Li1 Li 0.500 0.500 0.324
# Density of states at the Fermi level = 2.48 states/eV/f.u.
# Magnetic moment = 0.00 μB per formula unit
# VASP energy = -1.38 eV/atom
# ΔE_f = 0.15 eV/atom


No. 6
# RbNa8Li2 PBE optimized geometry
data_RbNa8Li2
_chemical_formula_sum 'Rb2 Na16 Li4'
_symmetry_space_group_name_H-M 'I 4/m m m'
_symmetry_Int_Tables_number 139
_symmetry_space_group_name_Hall '-I 4 2'
_cell_length_a 7.270
_cell_length_b 7.270
_cell_length_c 21.286
_cell_angle_alpha 90.00
_cell_angle_beta 90.00
_cell_angle_gamma 90.00
loop_
_atom_site_label
_atom_site_type_symbol
_atom_site_fract_x
_atom_site_fract_y
_atom_site_fract_z
Rb1 Rb 0.000 0.000 0.000
Na1 Na 0.249 0.249 0.340
Li1 Li 0.000 0.500 0.250
# Density of states at the Fermi level = 7.77 states/eV/f.u.
# Magnetic moment = 0.00 μB per formula unit
# VASP energy = -1.21 eV/atom
# ΔE_f = 0.19 eV/atom